The following is a DFT calculation (PBE) of a relaxed DyThMgOs crystal.

Results
V in A^3/atom: 23.478
Energy of formation from the pure elements in eV/atom: -0.080
Energy in eV per atom: -6.29

Unit cell a=5.1020 b=5.1020 c=5.1020 alpha=60.00 beta=60.00 gamma=60.00
Last column: nearest neighbours and their distance in Å.
Fractional positions:
Dy1 0.7500 0.7500 0.7500  4 Mg 3.12, 4 Os 3.12
Th1 0.2500 0.2500 0.2500  4 Os 3.12, 4 Mg 3.12
Mg1 0.5000 0.5000 0.5000  4 Th 3.12, 4 Dy 3.12
Os1 0.0000 0.0000 0.0000  4 Dy 3.12, 4 Th 3.12

---

The following is a DFT calculation (PBE) of a relaxed Dy4MgZn2Os crystal.

Results
V in A^3/atom: 22.863
Energy of formation from the pure elements in eV/atom: -0.283
Energy in eV per atom: -4.51

Unit cell a=5.0470 b=5.0470 c=8.7886 alpha=73.31 beta=73.31 gamma=60.00
Last column: nearest neighbours and their distance in Å.
Fractional positions:
Mg1 0.0000 0.0000 0.0000  8 Dy 3.20-3.31, 6 Zn 3.44
Dy1 0.6139 0.6139 0.1583  1 Os 2.83, 4 Zn 2.96-3.13
Dy2 0.1332 0.1332 0.6005  3 Os 3.03, 4 Zn 3.16-3.27, 1 Mg 3.31, 3 Dy 3.36
Dy3 0.3861 0.3861 0.8417  1 Os 2.83, 4 Zn 2.96-3.13
Dy4 0.8668 0.8668 0.3995  3 Os 3.03, 4 Zn 3.16-3.27, 1 Mg 3.31, 3 Dy 3.36
Os1 0.5000 0.5000 0.5000  8 Dy 2.83-3.03
Zn1 0.7398 0.7398 0.7805  8 Dy 2.96-3.27
Zn2 0.2602 0.2602 0.2195  8 Dy 2.96-3.27

---

The following is a DFT calculation (PBE) of a relaxed DyMgZrOs crystal.

Results
V in A^3/atom: 20.543
Energy of formation from the pure elements in eV/atom: -0.147
Energy in eV per atom: -6.64

Unit cell a=4.8799 b=4.8799 c=4.8799 alpha=60.00 beta=60.00 gamma=60.00
Last column: nearest neighbours and their distance in Å.
Fractional positions:
Os1 0.5000 0.5000 0.5000  4 Dy 2.99, 4 Zr 2.99
Dy1 0.7500 0.7500 0.7500  4 Mg 2.99, 4 Os 2.99
Zr1 0.2500 0.2500 0.2500  4 Os 2.99, 4 Mg 2.99
Mg1 0.0000 0.0000 0.0000  4 Zr 2.99, 4 Dy 2.99

---

Look up the V of the first one. 23.478 A^3/atom

---

Among the records above, which one has the lowest V? DyMgZrOs

---

The lowest energy belongs to which entry? DyMgZrOs

---

Repeat the second record exactly.
The following is a DFT calculation (PBE) of a relaxed Dy4MgZn2Os crystal.

Results
V in A^3/atom: 22.863
Energy of formation from the pure elements in eV/atom: -0.283
Energy in eV per atom: -4.51

Unit cell a=5.0470 b=5.0470 c=8.7886 alpha=73.31 beta=73.31 gamma=60.00
Last column: nearest neighbours and their distance in Å.
Fractional positions:
Mg1 0.0000 0.0000 0.0000  8 Dy 3.20-3.31, 6 Zn 3.44
Dy1 0.6139 0.6139 0.1583  1 Os 2.83, 4 Zn 2.96-3.13
Dy2 0.1332 0.1332 0.6005  3 Os 3.03, 4 Zn 3.16-3.27, 1 Mg 3.31, 3 Dy 3.36
Dy3 0.3861 0.3861 0.8417  1 Os 2.83, 4 Zn 2.96-3.13
Dy4 0.8668 0.8668 0.3995  3 Os 3.03, 4 Zn 3.16-3.27, 1 Mg 3.31, 3 Dy 3.36
Os1 0.5000 0.5000 0.5000  8 Dy 2.83-3.03
Zn1 0.7398 0.7398 0.7805  8 Dy 2.96-3.27
Zn2 0.2602 0.2602 0.2195  8 Dy 2.96-3.27